{"formula": "Sr4Eu2H", "functional": "PBE-GGA", "state": "optimized geometry", "n_ef_per_ev_cell": 26.2, "density_g_cm3": 3.56, "final_energy_ev_per_atom": -4.31, "lattice_angstrom": [[5.4506, 0.0000, 0.0000], [0.0000, 5.4506, 0.0000], [-2.7253, -2.7253, 10.2826]], "species": ["Eu", "Eu", "Sr", "Sr", "Sr", "Sr", "H"], "frac_coords": [[0.6710, 0.6710, 0.3420], [0.3290, 0.3290, 0.6580], [0.8604, 0.8604, 0.7208], [0.1396, 0.1396, 0.2792], [0.0000, 0.5000, 0.0000], [0.5000, 0.0000, 0.0000], [0.0000, 0.0000, 0.0000]]}



{"formula": "InAgSnTe3", "functional": "PBE-GGA", "state": "optimized geometry", "n_ef_per_ev_cell": 1.9, "density_g_cm3": 6.48, "final_energy_ev_per_atom": -3.36, "lattice_angstrom": [[-4.5938, -0.1852, -0.7023], [-1.1076, -2.9675, 8.0277], [-0.6384, 9.1732, 1.7569]], "species": ["In", "In", "Ag", "Ag", "Sn", "Sn", "Te", "Te", "Te", "Te", "Te", "Te"], "frac_coords": [[0.2500, 0.6508, 0.1570], [0.7500, 0.3492, 0.8430], [0.2500, 0.0924, 0.5106], [0.7500, 0.9076, 0.4894], [0.7500, 0.8511, 0.8150], [0.2500, 0.1489, 0.1850], [0.2500, 0.7307, 0.4688], [0.7500, 0.8922, 0.1369], [0.7500, 0.4030, 0.1593], [0.7500, 0.2693, 0.5312], [0.2500, 0.5970, 0.8407], [0.2500, 0.1078, 0.8631]]}